Record 1
The following is a DFT calculation (GGA-PBE) of a relaxed structure of ZnCu2Cl.

POSCAR file:
```
ZnCu2Cl
1.0
-5.823 -1.559 -2.905
1.165 -6.489 1.147
-3.684 -3.808 1.721
Cu Cl Zn
4 2 2
direct
0.875 0.868 0.750
0.132 0.625 0.250
0.618 0.125 0.250
0.375 0.382 0.750
0.500 0.500 0.000
0.250 0.750 0.500
0.000 0.000 0.000
0.750 0.250 0.500
```

## Properties
space group: I-42d (122)
ΔE to the lowest computed polymorph: 0.269 eV per atom
crystal system: tetragonal
DFT total energy: -2.61 eV per atom
formation energy (no corrections): 0.22 eV per atom
magnetic moment: 0.0 μB per cell

Record 2
The following is a DFT calculation (GGA-PBE) of a relaxed structure of ZnCu2Cl.

POSCAR file:
```
ZnCu2Cl
1.0
4.681 0.007 0.000
-1.601 4.399 0.000
0.000 0.000 2.920
Cu Zn Cl
2 1 1
direct
0.500 0.500 0.000
0.000 0.000 0.000
0.500 0.000 0.500
0.000 0.500 0.500
```

## Properties
space group: Cmmm (65)
ΔE to the lowest computed polymorph: 0.263 eV per atom
crystal system: orthorhombic
DFT total energy: -2.62 eV per atom
formation energy (no corrections): 0.21 eV per atom
magnetic moment: 0.0 μB per cell

Record 3
The following is a DFT calculation (GGA-PBE) of a relaxed structure of ZnCu2Cl.

POSCAR file:
```
ZnCu2Cl
1.0
-0.845 -2.961 -0.454
3.092 -0.815 -0.438
0.586 -1.140 6.339
Cu Cl Zn
2 1 1
direct
0.000 0.749 0.051
0.500 0.250 0.248
0.500 0.751 0.761
0.000 0.750 0.441
```

## Properties
space group: Pm (6)
ΔE to the lowest computed polymorph: 0.013 eV per atom
crystal system: monoclinic
DFT total energy: -2.87 eV per atom
formation energy (no corrections): -0.04 eV per atom
magnetic moment: 0.0 μB per cell

Record 4
The following is a DFT calculation (GGA-PBE) of a relaxed structure of ZnCu2Cl.

POSCAR file:
```
ZnCu2Cl
1.0
-4.449 1.615 -2.231
-0.759 -1.877 4.825
-1.181 2.189 1.701
Cu Zn Cl
2 1 1
direct
0.500 0.500 0.000
0.000 0.000 0.000
0.500 0.000 0.500
0.000 0.500 0.500
```

## Properties
space group: C2/m (12)
ΔE to the lowest computed polymorph: 0.269 eV per atom
crystal system: monoclinic
DFT total energy: -2.61 eV per atom
formation energy (no corrections): 0.22 eV per atom
magnetic moment: 0.0 μB per cell

> Which of these has the lowest DFT total energy?

number 3

> What is the formula in the first record?

ZnCu2Cl

Copy entry 4 word for word.
The following is a DFT calculation (GGA-PBE) of a relaxed structure of ZnCu2Cl.

POSCAR file:
```
ZnCu2Cl
1.0
-4.449 1.615 -2.231
-0.759 -1.877 4.825
-1.181 2.189 1.701
Cu Zn Cl
2 1 1
direct
0.500 0.500 0.000
0.000 0.000 0.000
0.500 0.000 0.500
0.000 0.500 0.500
```

## Properties
space group: C2/m (12)
ΔE to the lowest computed polymorph: 0.269 eV per atom
crystal system: monoclinic
DFT total energy: -2.61 eV per atom
formation energy (no corrections): 0.22 eV per atom
magnetic moment: 0.0 μB per cell

> Number 3 is which compound?

ZnCu2Cl